1.
GdHoHg: relaxed, PBE-GGA.

* calculated total energy: -39.844 eV per cell
* energy above the lowest structure with this stoichiometry: 0.0 kJ/mol of formula units
* symmetry: No. 107
* E_form: -0.321 eV per atom

POSCAR file:
```
GdHoHg
1.0
3.6700 0.0000 0.0000
0.0000 3.6700 0.0000
0.0000 0.0000 12.5297
Gd Ho Hg
2 2 2
Direct
0.0000 0.0000 0.0000
0.5000 0.5000 0.5000
0.0000 0.0000 0.6947
0.5000 0.5000 0.1947
0.0000 0.0000 0.3404
0.5000 0.5000 0.8404
```

---

2.
Pm2PrSn2Hg2: relaxed, PBE-GGA.

* calculated total energy: -25.519 eV per cell
* symmetry: No. 166
* E_form: -0.376 eV per atom

POSCAR file:
```
Pm2PrSn2Hg2
1.0
2.5061 1.4469 9.2898
-2.5061 1.4469 9.2898
0.0000 -2.8938 9.2898
Pm Pr Sn Hg
2 1 2 2
Direct
0.1311 0.1311 0.1311
0.8689 0.8689 0.8689
0.0000 0.0000 0.0000
0.2699 0.2699 0.2699
0.7301 0.7301 0.7301
0.4288 0.4288 0.4288
0.5712 0.5712 0.5712
```

---

3.
SiAg5: relaxed, PBE-GGA.

* ΔE_f (raw): 0.147 eV per atom
* calculated total energy: -37.595 eV per cell
* energy above the lowest structure with this stoichiometry: 10.6 kJ/mol of formula units
* symmetry: No. 38

POSCAR file:
```
SiAg5
1.0
4.8139 0.0000 0.0000
0.0000 2.8640 0.0000
0.0000 0.0000 15.1919
Si Ag
2 10
Direct
0.0000 0.0000 0.0000
0.0000 0.5000 0.5000
0.0000 0.0000 0.3376
0.0000 0.0000 0.6635
0.0000 0.5000 0.1635
0.0000 0.5000 0.8376
0.5000 0.0000 0.1071
0.5000 0.0000 0.4433
0.5000 0.0000 0.7740
0.5000 0.5000 0.2740
0.5000 0.5000 0.6071
0.5000 0.5000 0.9433
```

---

4.
Pr4Ho2Pb3N2: relaxed, PBE-GGA.

* ΔE_f (raw): -0.799 eV per atom
* calculated total energy: -64.840 eV per cell
* symmetry: No. 139

POSCAR file:
```
Pr4Ho2Pb3N2
1.0
-2.4584 2.4584 12.9219
2.4584 -2.4584 12.9219
2.4584 2.4584 -12.9219
Pr Ho Pb N
4 2 3 2
Direct
0.0867 0.5867 0.5000
0.4133 0.9133 0.5000
0.5867 0.0867 0.5000
0.9133 0.4133 0.5000
0.1927 0.1927 0.0000
0.8073 0.8073 0.0000
0.3184 0.3184 0.0000
0.5000 0.5000 0.0000
0.6816 0.6816 0.0000
0.1083 0.1083 0.0000
0.8917 0.8917 0.0000
```

---

5.
Sr2GeRuCl: relaxed, PBE-GGA.

* ΔE_f (raw): -0.096 eV per atom
* calculated total energy: -19.583 eV per cell
* symmetry: No. 123

POSCAR file:
```
Sr2GeRuCl
1.0
5.4449 0.0000 0.0000
0.0000 5.4449 0.0000
0.0000 0.0000 4.6955
Sr Ge Ru Cl
2 1 1 1
Direct
0.0000 0.5000 0.0000
0.5000 0.0000 0.0000
0.0000 0.0000 0.5000
0.5000 0.5000 0.5000
0.5000 0.5000 0.0000
```

---

6.
BiClF: relaxed, PBE-GGA.

* ΔE_f (raw): -1.452 eV per atom
* calculated total energy: -23.911 eV per cell
* energy above the lowest structure with this stoichiometry: 0.0 kJ/mol of formula units
* symmetry: No. 2

POSCAR file:
```
BiClF
1.0
4.2019 0.0000 0.0000
-2.0975 4.7841 0.0000
-0.0353 -1.8908 7.3917
Bi Cl F
2 2 2
Direct
0.0772 0.1569 0.3389
0.9228 0.8431 0.6611
0.3868 0.7777 0.1857
0.6132 0.2223 0.8143
0.3043 0.6075 0.5795
0.6957 0.3925 0.4205
```